Density functional theory data (GGA-PBE) for a geometry-optimized TbSc3Tl structure.

Lattice parameters (Å, degrees): 5.0806 6.2653 16.1046 90.00 90.00 90.00
Fractional coordinates of all 20 atoms:
Tb (0.2500, 0.9615, 0.8260)
Sc (0.7500, 0.0600, 0.3996)
Tb (0.2500, 0.4615, 0.6740)
Sc (0.2500, 0.3542, 0.4625)
Sc (0.2500, 0.1871, 0.2846)
Sc (0.2500, 0.6871, 0.2154)
Sc (0.2500, 0.9400, 0.6004)
Sc (0.7500, 0.3129, 0.7846)
Sc (0.7500, 0.6458, 0.5375)
Sc (0.7500, 0.1458, 0.9625)
Tl (0.7500, 0.1884, 0.5852)
Sc (0.7500, 0.8129, 0.7154)
Tl (0.2500, 0.8116, 0.4148)
Tl (0.7500, 0.6884, 0.9148)
Sc (0.2500, 0.4400, 0.8996)
Tb (0.7500, 0.0385, 0.1740)
Sc (0.2500, 0.8542, 0.0375)
Tl (0.2500, 0.3116, 0.0852)
Tb (0.7500, 0.5385, 0.3260)
Sc (0.7500, 0.5600, 0.1004)

Output
crystal system: orthorhombic
formation enthalpy at 0 K: -0.11 eV/atom
E: -106.1 eV/cell
energy relative to the lowest polymorph listed for this composition: 0 meV per atom
Fermi-level density of states: 1.5341 states/eV/atom

=====

Density functional theory data (GGA-PBE) for a geometry-optimized Mg2HgSb2 structure.

Lattice parameters (Å, degrees): 4.4621 4.4621 7.6979 73.15 73.15 90.00
Fractional coordinates of all 5 atoms:
Mg (0.3973, 0.3973, 0.2055)
Hg (0.0000, 0.0000, 0.0000)
Mg (0.6027, 0.6027, 0.7945)
Sb (0.2500, 0.7500, 0.5000)
Sb (0.7500, 0.2500, 0.5000)

Output
crystal system: tetragonal
E: -11.9 eV/cell
energy relative to the elements, uncorrected: -0.04 eV per atom
energy relative to the lowest polymorph listed for this composition: 159 meV per atom
Fermi-level density of states: 0.3282 states/eV/atom

=====

Density functional theory data (GGA-PBE) for a geometry-optimized Tm2TlZn2 structure.

Lattice parameters (Å, degrees): 4.2393 5.7826 5.7826 61.92 68.50 68.50
Fractional coordinates of all 5 atoms:
Tl (0.0000, 0.0000, 0.0000)
Zn (0.5000, 0.2952, 0.7048)
Tm (0.7885, 0.7115, 0.7115)
Tm (0.2115, 0.2885, 0.2885)
Zn (0.5000, 0.7048, 0.2952)

Output
crystal system: orthorhombic
formation enthalpy at 0 K: -0.24 eV/atom
E: -15.0 eV/cell
Fermi-level density of states: 0.7244 states/eV/atom

=====

Density functional theory data (GGA-PBE) for a geometry-optimized Ti2VIr structure.

Lattice parameters (Å, degrees): 3.0278 4.4364 4.4364 90.00 90.00 90.00
Site moments in Bohr magnetons follow the coordinates.
Fractional coordinates of all 4 atoms:
Ti (0.0000, 0.0000, 0.5000)  0.03
Ti (0.0000, 0.5000, 0.0000)  0.03
Ir (0.5000, 0.5000, 0.5000)  0.00
V (0.5000, 0.0000, 0.0000)  0.36

Output
crystal system: tetragonal
formation enthalpy at 0 K: -0.53 eV/atom
E: -35.9 eV/cell
energy relative to the lowest polymorph listed for this composition: 9 meV per atom
Fermi-level density of states: 1.4311 states/eV/atom

=====

Density functional theory data (GGA-PBE) for a geometry-optimized TiMnSiRh structure.

Lattice parameters (Å, degrees): 4.1685 4.1685 4.1685 60.00 60.00 60.00
Fractional coordinates of all 4 atoms:
Mn (0.0000, 0.0000, 0.0000)
Ti (0.2500, 0.2500, 0.2500)
Si (0.7500, 0.7500, 0.7500)
Rh (0.5000, 0.5000, 0.5000)

Output
crystal system: cubic
E: -32.8 eV/cell
energy relative to the elements, uncorrected: -0.73 eV per atom
Fermi-level density of states: 0.0046 states/eV/atom

=====

Density functional theory data (GGA-PBE) for a geometry-optimized CoPH2 structure.

Lattice parameters (Å, degrees): 5.3867 2.6589 5.6665 90.00 117.95 90.00
Site moments in Bohr magnetons follow the coordinates.
Fractional coordinates of all 8 atoms:
H (0.3363, 0.5000, 0.5280)  0.00
H (0.5719, 0.0000, 0.8570)  0.00
P (0.6037, 0.5000, 0.2695)  0.00
Co (0.3520, 0.5000, 0.8302)  0.06
Co (0.5709, 0.0000, 0.5638)  0.21
H (0.8916, 0.5000, 0.3173)  0.00
H (0.0582, 0.0000, 0.0980)  0.00
P (0.0288, 0.0000, 0.8317)  0.00

Output
crystal system: monoclinic
E: -39.1 eV/cell
energy relative to the lowest polymorph listed for this composition: 9 meV per atom
Fermi-level density of states: 0.4158 states/eV/atom

=====

Density functional theory data (GGA-PBE) for a geometry-optimized Sc3Al2Au structure.

Lattice parameters (Å, degrees): 3.2470 3.2470 11.1912 90.00 90.00 90.00
Fractional coordinates of all 6 atoms:
Al (0.5000, 0.5000, 0.8309)
Sc (0.0000, 0.0000, 0.3372)
Sc (0.0000, 0.0000, 0.6628)
Al (0.5000, 0.5000, 0.1691)
Au (0.5000, 0.5000, 0.5000)
Sc (0.0000, 0.0000, 0.0000)

Output
crystal system: tetragonal
formation enthalpy at 0 K: -0.55 eV/atom
E: -33.1 eV/cell
Fermi-level density of states: 0.5824 states/eV/atom

=====

Density functional theory data (GGA-PBE) for a geometry-optimized CeYBi structure.

Lattice parameters (Å, degrees): 3.8035 5.3595 5.3595 120.00 90.00 90.00
Site moments in Bohr magnetons follow the coordinates.
Fractional coordinates of all 3 atoms:
Bi (0.3972, 0.3333, 0.6667)  -0.02
Ce (0.0368, 0.0000, 0.0000)  1.09
Y (0.5661, 0.6667, 0.3333)  0.24

Output
crystal system: trigonal
formation enthalpy at 0 K: -0.25 eV/atom
E: -17.0 eV/cell
Fermi-level density of states: 2.5023 states/eV/atom

=====

Density functional theory data (GGA-PBE) for a geometry-optimized Y3TaN structure.

Lattice parameters (Å, degrees): 4.8092 4.8092 4.8092 90.00 90.00 90.00
Site moments in Bohr magnetons follow the coordinates.
Fractional coordinates of all 5 atoms:
Y (0.0000, 0.5000, 0.0000)  0.08
Y (0.5000, 0.0000, 0.0000)  0.06
Y (0.0000, 0.0000, 0.5000)  0.08
Ta (0.5000, 0.5000, 0.5000)  0.88
N (0.0000, 0.0000, 0.0000)  0.02

Output
crystal system: cubic
E: -41.0 eV/cell
energy relative to the elements, uncorrected: -0.30 eV per atom
energy relative to the lowest polymorph listed for this composition: 0 meV per atom
Fermi-level density of states: 0.7943 states/eV/atom

=====

Density functional theory data (GGA-PBE) for a geometry-optimized Ac2DySn structure.

Lattice parameters (Å, degrees): 5.8574 5.8574 5.8574 60.00 60.00 60.00
Fractional coordinates of all 4 atoms:
Dy (0.0000, 0.0000, 0.0000)
Ac (0.2500, 0.2500, 0.2500)
Sn (0.5000, 0.5000, 0.5000)
Ac (0.7500, 0.7500, 0.7500)

Output
crystal system: cubic
formation enthalpy at 0 K: -0.17 eV/atom
E: -17.5 eV/cell
energy relative to the lowest polymorph listed for this composition: 151 meV per atom
Fermi-level density of states: 1.2553 states/eV/atom

=====

Density functional theory data (GGA-PBE) for a geometry-optimized PrLuIn2 structure.

Lattice parameters (Å, degrees): 3.6950 3.6950 10.1465 79.51 79.51 60.00
Fractional coordinates of all 4 atoms:
Pr (0.5000, 0.5000, 0.5000)
In (0.7461, 0.7461, 0.7617)
In (0.2539, 0.2539, 0.2383)
Lu (0.0000, 0.0000, 0.0000)

Output
crystal system: trigonal
formation enthalpy at 0 K: -0.28 eV/atom
E: -15.9 eV/cell
energy relative to the lowest polymorph listed for this composition: 167 meV per atom
Fermi-level density of states: 0.7811 states/eV/atom

=====

Density functional theory data (GGA-PBE) for a geometry-optimized ReMo structure.

Lattice parameters (Å, degrees): 3.6648 3.6648 3.6648 60.00 60.00 60.00
Fractional coordinates of all 2 atoms:
Re (0.5000, 0.5000, 0.5000)
Mo (0.0000, 0.0000, 0.0000)

Output
crystal system: cubic
formation enthalpy at 0 K: 1.22 eV/atom
E: -20.8 eV/cell
energy relative to the lowest polymorph listed for this composition: 1130 meV per atom
Fermi-level density of states: 1.1059 states/eV/atom